Here is a relaxed TlMo2RuO8 crystal from the Alexandria database. Energies are from PBE with a Hubbard U.

```
TlMo2RuO8
1.0
5.5635 -0.0419 -0.0151
2.5293 4.9555 -0.0151
0.3487 0.2117 8.0187
Tl Mo Ru O
1 2 1 8
Cartesian
0.1744 0.1059 4.0094
5.2523 3.1890 1.6410
3.1892 1.9364 6.3475
0.0000 0.0000 0.0000
4.8334 1.1615 6.6199
6.4618 3.9234 0.5319
5.6875 3.4533 3.3202
2.7539 1.6721 4.6682
1.9797 1.2020 7.4566
3.2602 3.7526 6.6199
5.1813 1.3727 1.3685
3.6081 3.9639 1.3685
```

- M_tot (μB per atom) = 0.085
- space-group type = No. 12
- final energy (eV for the cell shown) = -81.44
- D(E_F) (states/eV/cell) = 4.9
- volume (Å³ per atom) = 18.50